Computed, not measured: RbP2Pd5 after structural relaxation at the PBE-GGA level of DFT.

Cell and atoms, written as extended XYZ:
```
8
Lattice="-2.014 3.503 5.206 2.014 -3.503 5.206 2.014 3.503 -5.206" Properties=species:S:1:pos:R:3 pbc="T T T"
Rb 0.000 0.000 0.000
P 2.014 0.000 2.860
P 0.000 3.503 2.346
Pd 2.014 2.150 -1.755
Pd 2.014 2.150 1.755
Pd 0.000 3.503 0.000
Pd 0.000 1.354 3.451
Pd 0.000 1.354 6.962
```

Output
For the energy relative to the elements, the calculation gives -0.426 eV per atom. The density of states at the Fermi level comes out at 3.629 states/eV per cell. The final energy is -5.144 eV/atom.

***

Computed, not measured: Rb3PPd after structural relaxation at the PBE-GGA level of DFT.

Cell and atoms, written as extended XYZ:
```
20
Lattice="8.541 0.000 0.000 0.000 8.541 0.000 0.000 0.000 8.541" Properties=species:S:1:pos:R:3 pbc="T T T"
Rb 0.410 1.176 6.904
Rb 1.176 6.904 0.410
Rb 1.637 4.681 3.094
Rb 2.633 3.860 7.365
Rb 3.094 1.637 4.681
Rb 3.860 7.365 2.633
Rb 4.681 3.094 1.637
Rb 5.447 5.907 8.131
Rb 5.907 8.131 5.447
Rb 6.904 0.410 1.176
Rb 7.365 2.633 3.860
Rb 8.131 5.447 5.907
P 0.592 7.949 3.678
P 3.678 0.592 7.949
P 4.862 4.862 4.862
P 7.949 3.678 0.592
Pd 1.490 1.490 1.490
Pd 2.780 7.051 5.761
Pd 5.761 2.780 7.051
Pd 7.051 5.761 2.780
```

Output
For the energy relative to the elements, the calculation gives 0.172 eV per atom. The density of states at the Fermi level comes out at 15.584 states/eV per cell. The final energy is -2.529 eV/atom. The value obtained for the energy above the most stable polymorph in this dataset is 0.00 eV/f.u.

***

Computed, not measured: RbP2Pd after structural relaxation at the PBE-GGA level of DFT.

Cell and atoms, written as extended XYZ:
```
4
Lattice="2.129 1.229 7.359 -2.129 1.229 7.359 0.000 -2.458 7.359" Properties=species:S:1:pos:R:3 pbc="T T T"
Rb 0.000 0.000 0.000
P 0.000 0.000 3.213
P 0.000 0.000 18.865
Pd 0.000 0.000 11.039
```

Output
For the energy relative to the elements, the calculation gives -0.055 eV per atom. The density of states at the Fermi level comes out at 1.881 states/eV per cell. The final energy is -4.300 eV/atom. The value obtained for the energy above the most stable polymorph in this dataset is 0.00 eV/f.u.